No. 1
DFT (PBE with a Hubbard U) results for an optimized crystal structure of NaTl2Cr3F12.

Output
For the calculated volume, the calculation gives 293 Å³/f.u. The total energy is -5.41 eV per atom.

a = 7.4312 Å, b = 7.4312 Å, c = 7.4312 Å
α = 60.45°, β = 60.45°, γ = 60.45°
With the nearest neighbours (Å) after each atom.
Sites, in units of the cell vectors:
1 F 0.8958 0.8958 0.3911  1 Cr 1.92
2 Cr 0.0000 0.0000 0.5000  6 F 1.92-1.96
3 Na 0.0000 0.0000 0.0000  6 F 2.41
4 F 0.2945 0.9126 0.2945  2 Cr 1.96
5 F 0.7055 0.7055 0.0874  2 Cr 1.96
6 F 0.9126 0.2945 0.2945  2 Cr 1.96
7 F 0.8958 0.3911 0.8958  1 Cr 1.92
8 F 0.0874 0.7055 0.7055  2 Cr 1.96
9 F 0.1042 0.6089 0.1042  1 Cr 1.92
10 Cr 0.0000 0.5000 0.0000  6 F 1.92-1.96
11 Cr 0.5000 0.0000 0.0000  6 F 1.92-1.96
12 F 0.7055 0.0874 0.7055  2 Cr 1.96
13 F 0.1042 0.1042 0.6089  1 Cr 1.92
14 F 0.3911 0.8958 0.8958  1 Cr 1.92
15 F 0.6089 0.1042 0.1042  1 Cr 1.92
16 Tl 0.3610 0.3610 0.3610  3 F 2.71
17 F 0.2945 0.2945 0.9126  2 Cr 1.96
18 Tl 0.6390 0.6390 0.6390  3 F 2.71

---

No. 2
DFT (PBE with a Hubbard U) results for an optimized crystal structure of Na2TlCrF6.

Output
For the calculated volume, the calculation gives 154 Å³/f.u. The polymorph energy (0 for the lowest one) comes out at 0.0000 eV/atom. The total energy is -4.96 eV per atom.

a = 5.9656 Å, b = 6.0073 Å, c = 8.6121 Å
α = 90.00°, β = 90.82°, γ = 90.00°
With the nearest neighbours (Å) after each atom.
Sites, in units of the cell vectors:
1 Na 0.0066 0.9305 0.2266  4 F 2.25-2.49
2 F 0.1599 0.4471 0.8048  1 Cr 1.97
3 F 0.7371 0.3672 0.8982  1 Cr 1.96
4 F 0.4009 0.7042 0.4386  1 Cr 1.94
5 Tl 0.5000 0.0000 0.0000  6 F 2.75-2.80
6 F 0.2629 0.6328 0.1018  1 Cr 1.96
7 Na 0.5066 0.5695 0.7266  4 F 2.25-2.49
8 F 0.8401 0.5529 0.1952  1 Cr 1.97
9 F 0.6599 0.0529 0.3048  1 Cr 1.97
10 Cr 0.0000 0.5000 0.0000  6 F 1.94-1.97
11 Na 0.4934 0.4305 0.2734  4 F 2.25-2.49
12 F 0.3401 0.9471 0.6952  1 Cr 1.97
13 Tl 0.0000 0.5000 0.5000  6 F 2.75-2.80
14 F 0.2371 0.1328 0.3982  1 Cr 1.96
15 F 0.5991 0.2958 0.5614  1 Cr 1.94
16 F 0.9009 0.7958 0.9386  1 Cr 1.94
17 F 0.7629 0.8672 0.6018  1 Cr 1.96
18 Cr 0.5000 0.0000 0.5000  6 F 1.94-1.97
19 F 0.0991 0.2042 0.0614  1 Cr 1.94
20 Na 0.9934 0.0695 0.7734  4 F 2.25-2.49

---

No. 3
DFT (PBE with a Hubbard U) results for an optimized crystal structure of Na3Tl3CrF8.

Output
For the calculated volume, the calculation gives 267 Å³/f.u. The total energy is -4.51 eV per atom.

a = 7.0126 Å, b = 6.9436 Å, c = 7.5288 Å
α = 117.50°, β = 90.00°, γ = 120.33°
With the nearest neighbours (Å) after each atom.
Sites, in units of the cell vectors:
1 F 0.2184 0.9718 0.6879  1 Cr 2.22, 2 Na 2.39-2.41
2 F 0.7989 0.5978 0.3275  1 Cr 2.04
3 F 0.2465 0.0282 0.3121  1 Cr 2.22, 2 Na 2.39-2.41
4 Na 0.0000 0.5000 0.5000  6 F 2.37-2.43
5 Tl 0.0000 0.5000 0.0000  6 F 2.76-2.82
6 F 0.7325 0.4650 0.6954  3 Na 2.35-2.37
7 F 0.7816 0.0282 0.3121  1 Cr 2.22, 2 Na 2.39-2.41
8 Cr 0.0000 0.0000 0.5000  6 F 2.04-2.22
9 Na 0.5000 0.0000 0.5000  6 F 2.35-2.41
10 F 0.7535 0.9718 0.6879  1 Cr 2.22, 2 Na 2.39-2.41
11 Na 0.5000 0.5000 0.5000  6 F 2.37-2.43
12 F 0.2675 0.5350 0.3046  3 Na 2.35-2.37
13 Tl 0.0000 0.0000 0.0000  6 F 2.77-2.79
14 Tl 0.5000 0.5000 0.0000  6 F 2.76-2.82
15 F 0.2011 0.4022 0.6725  1 Cr 2.04

---

No. 4
DFT (PBE with a Hubbard U) results for an optimized crystal structure of Na2TlCrF6.

Output
For the calculated volume, the calculation gives 182 Å³/f.u. The polymorph energy (0 for the lowest one) comes out at 0.1721 eV/atom. The total energy is -4.79 eV per atom.

a = 6.3660 Å, b = 6.3660 Å, c = 6.3660 Å
α = 60.00°, β = 60.00°, γ = 60.00°
With the nearest neighbours (Å) after each atom.
Sites, in units of the cell vectors:
1 F 0.2156 0.2156 0.7844  1 Cr 1.94
2 Na 0.2500 0.2500 0.2500  12 F 3.20
3 Cr 0.0000 0.0000 0.0000  6 F 1.94
4 F 0.7844 0.7844 0.2156  1 Cr 1.94
5 F 0.2156 0.7844 0.7844  1 Cr 1.94
6 F 0.7844 0.2156 0.2156  1 Cr 1.94
7 Tl 0.5000 0.5000 0.5000  6 F 2.56
8 Na 0.7500 0.7500 0.7500  12 F 3.20
9 F 0.2156 0.7844 0.2156  1 Cr 1.94
10 F 0.7844 0.2156 0.7844  1 Cr 1.94

---

Number 1: total magnetization 0.50 μB/atom. Number 2: total magnetization 0.30 μB/atom. Number 3: total magnetization 0.27 μB/atom. Number 4: total magnetization 0.30 μB/atom.